Run 1
The following is a PBE calculation of a relaxed structure of SrP2Ir, from Alexandria via LeMat-Bulk.

abc: 4.6776 4.6776 4.6776
angles: 60.00 60.00 60.00
Last column: nearest neighbours and their distance in Å.
Sites, in units of the cell vectors:
Sr (0.0000, 0.0000, 0.0000)  8 P 2.86
Ir (0.5000, 0.5000, 0.5000)  8 P 2.86
P (0.2500, 0.2500, 0.2500)  4 Ir 2.86, 4 Sr 2.86
P (0.7500, 0.7500, 0.7500)  4 Ir 2.86, 4 Sr 2.86


Run 2
The following is a PBE calculation of a relaxed structure of SrP2Ir, from Alexandria via LeMat-Bulk.

abc: 4.2431 4.3339 5.0846
angles: 79.40 90.00 90.00
Last column: nearest neighbours and their distance in Å.
Sites, in units of the cell vectors:
Ir (0.5000, 0.7490, 0.9532)  3 P 2.22-2.31
P (0.0000, 0.9623, 0.9178)  2 Ir 2.31
P (0.5000, 0.2438, 0.1378)  1 Ir 2.22
Sr (0.0000, 0.5449, 0.4913)  5 P 3.01-3.21


Most stable: run 2 (next structure +515 meV/atom)


Run 1
The following is a PBE calculation of a relaxed structure of SrP2Ir, from Alexandria via LeMat-Bulk.

abc: 7.1692 7.1692 6.1835
angles: 54.57 54.57 90.00
Last column: nearest neighbours and their distance in Å.
Sites, in units of the cell vectors:
Sr (0.5000, 0.5000, 0.0000)  8 P 3.21-3.38, 2 Ir 3.54
Sr (0.2500, 0.7500, 0.5000)  8 P 3.21-3.38, 2 Ir 3.54
Ir (0.0000, 0.0000, 0.0000)  4 P 2.27
Ir (0.7500, 0.2500, 0.5000)  4 P 2.27
P (0.7251, 0.1250, 0.2500)  2 Ir 2.27
P (0.0249, 0.6250, 0.2500)  2 Ir 2.27
P (0.3750, 0.2749, 0.7500)  2 Ir 2.27
P (0.8750, 0.9751, 0.7500)  2 Ir 2.27


Run 2
The following is a PBE calculation of a relaxed structure of SrP2Ir, from Alexandria via LeMat-Bulk.

abc: 3.9402 3.9402 6.3766
angles: 71.99 71.99 59.90
Last column: nearest neighbours and their distance in Å.
Sites, in units of the cell vectors:
Ir (0.3258, 0.3258, 0.0224)  6 P 2.40-2.50
P (0.9491, 0.9491, 0.1536)  3 Ir 2.40
P (0.7174, 0.7174, 0.8464)  3 Ir 2.50
Sr (0.5077, 0.5077, 0.4776)  6 P 2.98-3.16, 1 Ir 3.24


Most stable: run 2 (next structure +83 meV/atom)


Run 1
The following is a PBE calculation of a relaxed structure of SrP3Ir, from Alexandria via LeMat-Bulk.

abc: 5.1620 5.1620 5.1620
angles: 90.00 90.00 90.00
Last column: nearest neighbours and their distance in Å.
Sites, in units of the cell vectors:
Sr (0.0000, 0.0000, 0.0000)  6 P 2.58
Ir (0.5000, 0.5000, 0.5000)  12 P 3.65
P (0.0000, 0.5000, 0.0000)  2 Sr 2.58
P (0.0000, 0.0000, 0.5000)  2 Sr 2.58
P (0.5000, 0.0000, 0.0000)  2 Sr 2.58


Run 2
The following is a PBE calculation of a relaxed structure of SrP3Ir, from Alexandria via LeMat-Bulk.

abc: 4.7712 4.7712 4.7712
angles: 90.00 90.00 90.00
Last column: nearest neighbours and their distance in Å.
Sites, in units of the cell vectors:
Sr (0.5000, 0.5000, 0.5000)  12 P 3.37
Ir (0.0000, 0.0000, 0.0000)  6 P 2.39
P (0.0000, 0.5000, 0.0000)  2 Ir 2.39
P (0.0000, 0.0000, 0.5000)  2 Ir 2.39
P (0.5000, 0.0000, 0.0000)  2 Ir 2.39


Most stable: run 2 (next structure +2215 meV/atom)


Run 1
The following is a PBE calculation of a relaxed structure of SrTcP2Ir, from Alexandria via LeMat-Bulk.

abc: 5.1327 5.0118 5.1327
angles: 90.00 90.00 90.00
Last column: nearest neighbours and their distance in Å.
Sites, in units of the cell vectors:
Sr (0.0000, 0.0000, 0.0000)  2 Tc 2.51, 4 P 2.57
Ir (0.5000, 0.5000, 0.5000)  8 P 3.59, 4 Tc 3.63
Tc (0.0000, 0.5000, 0.0000)  2 Sr 2.51
P (0.0000, 0.0000, 0.5000)  2 Sr 2.57
P (0.5000, 0.0000, 0.0000)  2 Sr 2.57


Run 2
The following is a PBE calculation of a relaxed structure of SrTcP2Ir, from Alexandria via LeMat-Bulk.

abc: 4.0885 4.0885 6.3837
angles: 108.68 108.68 90.00
Last column: nearest neighbours and their distance in Å.
Sites, in units of the cell vectors:
Sr (0.0000, 0.0000, 0.0000)  8 P 3.34, 4 Tc 3.50, 4 Ir 3.50
Tc (0.2500, 0.7500, 0.5000)  4 P 2.36
P (0.6470, 0.6470, 0.2940)  2 Tc 2.36, 2 Ir 2.36
P (0.3530, 0.3530, 0.7060)  2 Tc 2.36, 2 Ir 2.36
Ir (0.7500, 0.2500, 0.5000)  4 P 2.36


Most stable: run 2 (next structure +3551 meV/atom)


Run 1
The following is a PBE calculation of a relaxed structure of Sr2TePIr, from Alexandria via LeMat-Bulk.

abc: 5.9669 5.9669 4.3646
angles: 90.00 90.00 90.00
Last column: nearest neighbours and their distance in Å.
Sites, in units of the cell vectors:
Sr (0.0000, 0.5000, 0.0000)  2 Ir 2.98
Sr (0.5000, 0.0000, 0.0000)  2 Ir 2.98
Ir (0.0000, 0.0000, 0.0000)  2 P 2.18
Te (0.5000, 0.5000, 0.5000)  8 Sr 3.70
P (0.0000, 0.0000, 0.5000)  2 Ir 2.18


Run 2
The following is a PBE calculation of a relaxed structure of Sr2TePIr, from Alexandria via LeMat-Bulk.

abc: 5.9450 5.9450 4.3190
angles: 90.00 90.00 90.00
Last column: nearest neighbours and their distance in Å.
Sites, in units of the cell vectors:
Sr (0.0000, 0.5000, 0.0000)  2 P 2.97
Sr (0.5000, 0.0000, 0.0000)  2 P 2.97
Ir (0.0000, 0.0000, 0.5000)  2 P 2.16
Te (0.5000, 0.5000, 0.5000)  8 Sr 3.67
P (0.0000, 0.0000, 0.0000)  2 Ir 2.16


Most stable: run 1 (next structure +81 meV/atom)


Run 1
The following is a PBE calculation of a relaxed structure of TaP2Ir, from Alexandria via LeMat-Bulk.

abc: 3.8815 3.8815 5.4792
angles: 76.96 76.96 49.74
Last column: nearest neighbours and their distance in Å.
Sites, in units of the cell vectors:
Ir (0.2500, 0.2500, 0.2500)  6 P 2.41-2.47
P (0.9963, 0.9963, 0.0261)  3 Ir 2.41-2.47, 3 Ta 2.57-2.61
P (0.5037, 0.5037, 0.4739)  3 Ir 2.41-2.47, 3 Ta 2.57-2.61
Ta (0.7500, 0.7500, 0.7500)  6 P 2.57-2.61


Run 2
The following is a PBE calculation of a relaxed structure of TaP2Ir, from Alexandria via LeMat-Bulk.

abc: 7.9695 7.9695 7.9695
angles: 21.38 21.38 21.38
Last column: nearest neighbours and their distance in Å.
Sites, in units of the cell vectors:
Ta (0.5000, 0.5000, 0.5000)  6 P 2.65, 6 Ta 2.96
P (0.7464, 0.7464, 0.7464)  3 Ir 2.53, 3 Ta 2.65
P (0.2536, 0.2536, 0.2536)  3 Ir 2.53, 3 Ta 2.65
Ir (0.0000, 0.0000, 0.0000)  6 P 2.53


Run 3
The following is a PBE calculation of a relaxed structure of TaP2Ir, from Alexandria via LeMat-Bulk.

abc: 7.5458 7.5458 7.5458
angles: 23.67 23.67 23.67
Last column: nearest neighbours and their distance in Å.
Sites, in units of the cell vectors:
Ir (0.7392, 0.7392, 0.7392)  3 P 2.40
P (0.9995, 0.9995, 0.9995)  3 Ir 2.40, 3 P 2.49
P (0.2541, 0.2541, 0.2541)  3 P 2.49, 3 Ta 2.51
Ta (0.5072, 0.5072, 0.5072)  3 P 2.51


Run 4
The following is a PBE calculation of a relaxed structure of TaP2Ir, from Alexandria via LeMat-Bulk.

abc: 5.7768 5.7768 5.7768
angles: 146.02 146.08 48.78
Last column: nearest neighbours and their distance in Å.
Sites, in units of the cell vectors:
Ir (0.7832, 0.2832, 0.5000)  6 P 2.48
P (0.9556, 0.9556, 0.0000)  2 Ir 2.48, 4 Ta 2.55
P (0.2196, 0.7196, 0.5000)  4 Ir 2.48, 2 Ta 2.52
Ta (0.5416, 0.5416, 0.0000)  6 P 2.52-2.55


Most stable: run 4 (next structure +317 meV/atom)